Compound: RbCuGe2Br
Source: the Alexandria database
Functional: PBE-GGA
Structure: optimized geometry

The structure belongs to space group P4/mmm (No. 123); the cell edges are 6.471, 6.471 and 5.478 Å and the angles 90.00°, 90.00° and 90.00°. The distinct sites, in fractional coordinates, are Rb at (0.000, 0.000, 0.000), Cu at (0.000, 0.000, 0.500), Ge at (0.000, 0.500, 0.000) and Br at (0.500, 0.500, 0.500).

As for the density of states at the Fermi level: 4.93 states/eV/f.u. As for the calculated volume: 229.3 Å³/cell. The value obtained for the uncorrected energy is -1.66 eV/atom. As for the uncorrected formation energy: 1538 meV/atom.